<one>
Density functional theory data (PBE-GGA) for a geometry-optimized LaAsP2O structure.

Its crystal system is tetragonal. The value obtained for the density of states at the Fermi level is 4.18 states/eV/cell.

The structure belongs to space group P4/mmm (No. 123); the cell edges are 4.804, 4.804 and 4.095 Å and the angles 90.00°, 90.00° and 90.00°. Symmetry generates all atoms from La at (0.000, 0.000, 0.000), As at (0.500, 0.500, 0.500), P at (0.000, 0.500, 0.500) and O at (0.500, 0.500, 0.000).

<two>
Density functional theory data (PBE-GGA) for a geometry-optimized LaAsP2O structure.

Its crystal system is tetragonal. The value obtained for the density of states at the Fermi level is 3.41 states/eV/cell.

The structure belongs to space group P4/mmm (No. 123); the cell edges are 5.698, 5.698 and 4.206 Å and the angles 90.00°, 90.00° and 90.00°. Symmetry generates all atoms from La at (0.000, 0.000, 0.000), As at (0.500, 0.500, 0.500), P at (0.000, 0.500, 0.000) and O at (0.000, 0.000, 0.500).

Each structure's energy above the most stable one, in meV/atom: <one> 0; <two> 786.